Entry 1:
The following is a GGA-PBE calculation of a relaxed structure of CoTePt, from Alexandria.

a = 3.767 Å, b = 3.767 Å, c = 4.363 Å
α = 90.00°, β = 90.00°, γ = 120.00°
Element x y z (fractional)
Co1 0.000 0.000 0.016
Pt1 0.333 0.667 0.281
Te1 0.667 0.333 0.703

Computed properties:
- distance to the lowest polymorph of the same formula (kJ per mole of atoms) = 9.4
- M_tot (μB/cell) = 0.0
- formation energy (no corrections) (meV/atom) = 163
- Fermi-level density of states (states/eV/atom) = 1.170
- SG = P3m1

***

Entry 2:
The following is a GGA-PBE calculation of a relaxed structure of CoTe2Pt, from Alexandria.

a = 3.733 Å, b = 5.609 Å, c = 7.382 Å
α = 44.52°, β = 90.00°, γ = 90.00°
Each line ends with the local moment (μB).
Element x y z (fractional)
Co1 0.500 0.250 0.250  0.79
Pt1 0.500 0.750 0.750  0.02
Te1 0.000 0.261 0.006  -0.01
Te2 0.000 0.239 0.494  -0.01

Computed properties:
- distance to the lowest polymorph of the same formula (kJ per mole of atoms) = 14.5
- M_tot (μB/cell) = 0.8
- formation energy (no corrections) (meV/atom) = 45
- Fermi-level density of states (states/eV/atom) = 1.306
- SG = P2/m